Material: BiMo3Se
Method: DFT, GGA-PBE
State: relaxed

The crystal system is cubic. For the total magnetization, the calculation gives 2.20 Bohr magnetons per cell. As for the total energy: -34.6 eV per cell. As for the uncorrected formation energy: 1.044 eV per atom. The value obtained for the energy above the most stable polymorph in this dataset is 0.0 kJ per mole of atoms. The calculation puts the density of states at the Fermi level at 5.0 states/eV per cell. Its space-group type is Pm-3m, No. 221.

Cell: 4.7052 4.7052 4.7052 Å, 90.00 90.00 90.00°
Site moments in Bohr magnetons follow the coordinates.
Fractional positions:
Mo 0.0000 0.5000 0.0000  0.51
Mo 0.0000 0.0000 0.5000  0.80
Mo 0.5000 0.0000 0.0000  0.61
Bi 0.5000 0.5000 0.5000  -0.02
Se 0.0000 0.0000 0.0000  -0.02